# CsNaBeSe2, optimized geometry, DFT GGA-PBE
data_CsNaBeSe2
_space_group_name_H-M_alt 'C m m e'
_space_group_IT_number 67
_space_group_name_Hall '-C 2a 2'
_cell_length_a 7.287
_cell_length_b 14.844
_cell_length_c 6.061
_cell_angle_alpha 90.00
_cell_angle_beta 90.00
_cell_angle_gamma 90.00
loop_
_atom_site_label
_atom_site_type_symbol
_atom_site_fract_x
_atom_site_fract_y
_atom_site_fract_z
_atom_site_occupancy
Cs1 Cs 0.000 0.250 0.245 1
Na1 Na 0.250 0.000 0.000 1
Be1 Be 0.000 0.000 0.500 1
Se1 Se 0.000 0.102 0.722 1
# M_tot	0.00	μB per atom
# electronic total energy	-69.736	eV/cell
# energy relative to the elements, uncorrected	-913	meV/atom